LaMo4Pt: relaxed, GGA-PBE. Values from VASP.

Quantum ESPRESSO input file:
```
&SYSTEM
  ibrav = 0, nat = 6, ntyp = 3
/
ATOMIC_SPECIES
La 138.91 La.upf
Mo 95.94 Mo.upf
Pt 195.08 Pt.upf
CELL_PARAMETERS angstrom
0.000 3.830 3.830
3.830 0.000 3.830
3.830 3.830 0.000
ATOMIC_POSITIONS angstrom
La 0.000 0.000 0.000
Mo 2.866 4.794 4.794
Mo 4.794 4.794 2.866
Mo 4.794 2.866 4.794
Mo 2.866 2.866 2.866
Pt 5.744 5.744 5.744
```

## Properties
space-group type = F-43m, No. 216
energy relative to the elements = 342 meV/atom
DOS at the Fermi energy = 5.2 states/eV/cell